(1)
## Ti3BeSi2 (PBE-GGA)

Data for a geometry-optimized Ti3BeSi2 structure.

Values from the calculation:
- space-group type = Pnma, No. 62
- raw formation energy (meV per atom) = -642
- electronic total energy (eV for the cell shown) = -168.4

a b c (Å): 10.0937 3.5751 9.4989
angles (deg): 90.00 90.00 90.00
With the nearest neighbours (Å) after each atom.
Element x y z (fractional)
Ti 0.0428 0.2500 0.1190  5 Si 2.57-2.67, 1 Be 2.59
Ti 0.1230 0.7500 0.5691  3 Be 2.57-2.60, 5 Si 2.58-2.64
Ti 0.2126 0.2500 0.7949  2 Be 2.52, 4 Si 2.60-2.70
Ti 0.2874 0.7500 0.2949  2 Be 2.52, 4 Si 2.60-2.70
Ti 0.3770 0.2500 0.0691  3 Be 2.57-2.60, 5 Si 2.58-2.64
Ti 0.4572 0.7500 0.6190  5 Si 2.57-2.67, 1 Be 2.59
Ti 0.5428 0.2500 0.3810  5 Si 2.57-2.67, 1 Be 2.59
Ti 0.6230 0.7500 0.9309  3 Be 2.57-2.60, 5 Si 2.58-2.64
Ti 0.7126 0.2500 0.7051  2 Be 2.52, 4 Si 2.60-2.70
Ti 0.7874 0.7500 0.2051  2 Be 2.52, 4 Si 2.60-2.70
Ti 0.8770 0.2500 0.4309  3 Be 2.57-2.60, 5 Si 2.58-2.64
Ti 0.9572 0.7500 0.8810  5 Si 2.57-2.67, 1 Be 2.59
Be 0.1289 0.2500 0.3754  3 Si 2.16-2.19
Be 0.3711 0.7500 0.8754  3 Si 2.16-2.19
Be 0.6289 0.2500 0.1246  3 Si 2.16-2.19
Be 0.8711 0.7500 0.6246  3 Si 2.16-2.19
Si 0.0240 0.7500 0.3127  2 Be 2.16
Si 0.1935 0.7500 0.0073  1 Be 2.19
Si 0.3065 0.2500 0.5073  1 Be 2.19
Si 0.4760 0.2500 0.8127  2 Be 2.16
Si 0.5240 0.7500 0.1873  2 Be 2.16
Si 0.6935 0.7500 0.4927  1 Be 2.19
Si 0.8065 0.2500 0.9927  1 Be 2.19
Si 0.9760 0.2500 0.6873  2 Be 2.16

***

(2)
## Y4TmZn5 (PBE-GGA)

Data for a geometry-optimized Y4TmZn5 structure.

Values from the calculation:
- space-group type = P4/mmm, No. 123
- electronic total energy (eV for the cell shown) = -40.3
- energy of formation (eV/atom) = -0.36

a b c (Å): 3.5680 3.5680 17.8585
angles (deg): 90.00 90.00 90.00
With the nearest neighbours (Å) after each atom.
Element x y z (fractional)
Y 0.0000 0.0000 0.1007  8 Zn 3.09-3.10
Y 0.0000 0.0000 0.3018  8 Zn 3.10-3.11
Y 0.0000 0.0000 0.6982  8 Zn 3.10-3.11
Y 0.0000 0.0000 0.8993  8 Zn 3.09-3.10
Tm 0.0000 0.0000 0.5000  8 Zn 3.05
Zn 0.5000 0.5000 0.0000  8 Y 3.10
Zn 0.5000 0.5000 0.2009  8 Y 3.09-3.10
Zn 0.5000 0.5000 0.4039  4 Tm 3.05, 4 Y 3.11
Zn 0.5000 0.5000 0.5961  4 Tm 3.05, 4 Y 3.11
Zn 0.5000 0.5000 0.7991  8 Y 3.09-3.10

***

(3)
## NaPuSeS (PBE-GGA)

Data for a geometry-optimized NaPuSeS structure.

Values from the calculation:
- space-group type = R3m, No. 160
- raw formation energy (meV per atom) = -1488
- electronic total energy (eV for the cell shown) = -87.6

a b c (Å): 4.1226 4.1226 20.3108
angles (deg): 90.00 90.00 120.00
With the nearest neighbours (Å) after each atom.
Element x y z (fractional)
Na 0.0000 0.0000 0.0000  3 S 3.00, 3 Se 3.03
Na 0.3333 0.6667 0.6667  3 S 3.00, 3 Se 3.03
Na 0.6667 0.3333 0.3333  3 S 3.00, 3 Se 3.03
Pu 0.0000 0.0000 0.5069  3 S 2.77, 3 Se 2.90
Pu 0.3333 0.6667 0.1736  3 S 2.77, 3 Se 2.90
Pu 0.6667 0.3333 0.8402  3 S 2.77, 3 Se 2.90
Se 0.0000 0.0000 0.7588  3 Pu 2.90, 3 Na 3.03
Se 0.3333 0.6667 0.4255  3 Pu 2.90, 3 Na 3.03
Se 0.6667 0.3333 0.0921  3 Pu 2.90, 3 Na 3.03
S 0.0000 0.0000 0.2438  3 Pu 2.77, 3 Na 3.00
S 0.3333 0.6667 0.9104  3 Pu 2.77, 3 Na 3.00
S 0.6667 0.3333 0.5771  3 Pu 2.77, 3 Na 3.00

***

Question: Which formula does entry 3 have?
Answer: NaPuSeS

***

Question: Which of these has the highest electronic total energy?
Answer: Y4TmZn5

***

Question: The highest electronic total energy belongs to which entry?
Answer: Y4TmZn5